(1)
SiAg3S, relaxed, DFT PBEsol; ΔE_f (raw) = 0.68 eV per atom; E_tot = -16.66 eV for the cell shown
1.0
4.707 0.000 0.000
0.000 4.707 0.000
0.000 0.000 4.707
S Si Ag
1 1 3
direct
0.000 0.000 0.000
0.500 0.500 0.500
0.000 0.500 0.000
0.000 0.000 0.500
0.500 0.000 0.000

---

(2)
TiBiOF2, relaxed, DFT PBEsol; ΔE_f (raw) = -0.88 eV per atom; E_tot = -26.11 eV for the cell shown
1.0
-3.325 0.532 3.002
-0.401 -4.491 0.352
3.030 -0.008 3.358
F Bi O Ti
2 1 1 1
direct
0.000 0.000 0.500
0.000 0.500 0.000
0.000 0.000 0.000
0.500 0.000 0.000
0.500 0.500 0.500

---

Q: Which value of E_tot does entry 2 give?
A: -26.11 eV for the cell shown

---

Q: Which value of ΔE_f (raw) does entry 2 give?
A: -0.88 eV per atom

---

Q: What is the formula in the second record?
A: TiBiOF2

---

Q: Look up the ΔE_f (raw) of the first one.
A: 0.68 eV per atom